GGA-PBE CsTaCl3, relaxed; raw formation energy = -924.3 meV per atom; DOS at the Fermi energy = 2.45 states/eV/cell; V = 131.8 Å³/cell; space group = No. 221; calculated total energy = -4.574 eV per atom
1.0
5.0897 0.0000 0.0000
0.0000 5.0897 0.0000
0.0000 0.0000 5.0897
Cs Ta Cl
1 1 3
Cartesian
0.0000 0.0000 0.0000 Cs
2.5448 2.5448 2.5448 Ta
0.0000 2.5448 2.5448 Cl
2.5448 0.0000 2.5448 Cl
2.5448 2.5448 0.0000 Cl

---

GGA-PBE Tb5MgBi4, relaxed; DOS at the Fermi energy = 7.21 states/eV/cell; energy of formation from the pure elements = -0.59 eV per atom; V = 320.2 Å³/cell; space group = No. 79; calculated total energy = -4.617 eV per atom
1.0
-5.0266 5.0266 3.1682
5.0266 -5.0266 3.1682
5.0266 5.0266 -3.1682
Tb Mg Bi
5 1 4
Cartesian
0.0000 0.0000 0.0000 Tb
3.9692 1.8815 0.0306 Tb
3.1451 -1.0575 3.1989 Tb
1.8815 6.0841 0.0306 Tb
1.0575 3.1451 3.1989 Tb
0.0000 0.0000 3.1664 Mg
7.0624 1.0397 0.0305 Bi
1.0397 2.9908 0.0305 Bi
3.9869 2.0358 3.1987 Bi
-2.0358 3.9869 3.1987 Bi

---

GGA-PBE Sn3MoS, relaxed; raw formation energy = 950.1 meV per atom; DOS at the Fermi energy = 3.64 states/eV/cell; energy above the most stable polymorph in this dataset = 484 meV per atom; V = 139.6 Å³/cell; space group = No. 221; calculated total energy = -4.443 eV per atom
1.0
5.1876 0.0000 0.0000
0.0000 5.1876 0.0000
0.0000 0.0000 5.1876
Sn Mo S
3 1 1
Cartesian
0.0000 0.0000 2.5938 Sn
0.0000 2.5938 0.0000 Sn
2.5938 0.0000 0.0000 Sn
2.5938 2.5938 2.5938 Mo
0.0000 0.0000 0.0000 S

---

GGA-PBE Ga6SbI12, relaxed; raw formation energy = -363.3 meV per atom; DOS at the Fermi energy = 12.87 states/eV/cell; V = 945.6 Å³/cell; space group = No. 148; calculated total energy = -2.515 eV per atom
1.0
8.6396 4.9881 3.6571
-8.6396 4.9881 3.6571
0.0000 -9.9761 3.6571
Ga Sb I
6 1 12
Cartesian
-1.4170 -1.5371 1.8602 Ga
-0.6227 1.9957 1.8602 Ga
2.0397 -0.4586 1.8602 Ga
-2.0397 0.4586 9.1112 Ga
0.6227 -1.9957 9.1112 Ga
1.4170 1.5371 9.1112 Ga
0.0000 0.0000 0.0000 Sb
-5.5150 -1.5827 5.6986 I
-2.4685 0.5478 3.3143 I
-1.3869 -5.5674 5.2728 I
0.7598 -2.4117 3.3143 I
-4.1281 3.9848 5.2728 I
1.7087 1.8639 3.3143 I
-1.7087 -1.8639 7.6571 I
4.1281 -3.9848 5.6986 I
-0.7598 2.4117 7.6571 I
1.3869 5.5675 5.6986 I
2.4685 -0.5478 7.6571 I
5.5150 1.5827 5.2728 I

---

GGA-PBE Tb4TeI5, relaxed; raw formation energy = -1137.7 meV per atom; DOS at the Fermi energy = 3.63 states/eV/cell; V = 355.6 Å³/cell; space group = No. 12; calculated total energy = -4.079 eV per atom
1.0
9.6962 -2.0871 0.0000
9.6962 2.0871 0.0000
-2.3166 0.0000 8.7868
Tb Te I
4 1 5
Cartesian
-0.5345 0.0000 2.4350 Tb
5.7004 0.0000 3.8541 Tb
11.3754 0.0000 4.9326 Tb
17.6102 0.0000 6.3518 Tb
8.5379 0.0000 4.3934 Te
1.2274 0.0000 7.2330 I
2.6704 0.0000 2.7546 I
9.6962 0.0000 0.0000 I
14.4053 0.0000 6.0322 I
15.8483 0.0000 1.5537 I

---

GGA-PBE TbNiPtPb, relaxed; DOS at the Fermi energy = 2.10 states/eV/cell; energy of formation from the pure elements = -0.48 eV per atom; V = 78.8 Å³/cell; space group = No. 216; calculated total energy = -5.519 eV per atom
1.0
0.0000 3.4031 3.4031
3.4031 0.0000 3.4031
3.4031 3.4031 0.0000
Tb Ni Pt Pb
1 1 1 1
Cartesian
0.0000 0.0000 0.0000 Tb
5.1046 5.1046 5.1046 Ni
1.7015 1.7015 1.7015 Pt
3.4031 3.4031 3.4031 Pb

---

GGA-PBE Tb5Pr2Y, relaxed; DOS at the Fermi energy = 22.52 states/eV/cell; energy above the most stable polymorph in this dataset = 0 meV per atom; energy of formation from the pure elements = 0.02 eV per atom; V = 528.3 Å³/cell; space group = No. 55; calculated total energy = -4.879 eV per atom
1.0
7.2033 0.0000 0.0000
0.0000 14.4067 0.0000
0.0000 0.0000 5.0907
Tb Pr Y
10 4 2
Cartesian
0.0000 0.0000 0.0000 Tb
0.0109 3.5964 0.0000 Tb
1.7872 12.5983 2.5453 Tb
1.8144 5.3950 2.5453 Tb
3.5907 10.7998 0.0000 Tb
3.6016 7.2033 0.0000 Tb
3.6126 3.6069 0.0000 Tb
5.3889 9.0117 2.5453 Tb
5.4160 1.8084 2.5453 Tb
7.1923 10.8103 0.0000 Tb
1.8038 1.8037 2.5453 Pr
1.7978 9.0071 2.5453 Pr
5.4055 5.3996 2.5453 Pr
5.3994 12.6030 2.5453 Pr
0.0000 7.2033 0.0000 Y
3.6016 0.0000 0.0000 Y

---

GGA-PBE BOsRu2, relaxed; DOS at the Fermi energy = 5.66 states/eV/cell; energy of formation from the pure elements = 0.79 eV per atom; V = 131.0 Å³/cell; space group = No. 122; calculated total energy = -8.323 eV per atom
1.0
-2.5381 2.5381 5.0838
2.5381 -2.5381 5.0838
2.5381 2.5381 -5.0838
B Os Ru
2 2 4
Cartesian
0.0000 0.0000 0.0000 B
0.0000 2.5381 2.5419 B
2.5381 0.0000 2.5419 Os
0.0000 0.0000 5.0838 Os
3.8071 0.9666 -1.2709 Ru
0.9666 1.2690 1.2709 Ru
-1.2690 1.5714 3.8128 Ru
1.5714 1.2690 6.3547 Ru

---

GGA-PBE KTa2Mo, relaxed; DOS at the Fermi energy = 2.79 states/eV/cell; energy above the most stable polymorph in this dataset = 0 meV per atom; energy of formation from the pure elements = 0.58 eV per atom; V = 86.0 Å³/cell; space group = No. 65; calculated total energy = -8.327 eV per atom
1.0
1.6092 -2.4669 0.0000
1.6092 2.4669 0.0000
0.0000 0.0000 10.8360
K Ta Mo
1 2 1
Cartesian
0.0000 0.0000 0.0000 K
1.6092 0.0000 3.2942 Ta
1.6092 0.0000 7.5418 Ta
0.0000 0.0000 5.4180 Mo

---

GGA-PBE Tb4NdEr2, relaxed; DOS at the Fermi energy = 23.47 states/eV/cell; energy above the most stable polymorph in this dataset = 94 meV per atom; energy of formation from the pure elements = 0.13 eV per atom; V = 448.8 Å³/cell; space group = No. 11; calculated total energy = -4.504 eV per atom
1.0
6.1497 0.0000 0.0000
0.0000 6.5457 0.0000
-2.8339 0.0000 11.1501
Tb Nd Er
8 2 4
Cartesian
0.0901 0.0483 3.2120 Tb
0.0901 3.2245 3.2120 Tb
-0.3322 1.6364 6.3777 Tb
-0.2340 4.9093 9.3535 Tb
3.5497 1.6364 1.7966 Tb
3.6479 4.9093 4.7724 Tb
3.2256 3.3212 7.9382 Tb
3.2256 6.4974 7.9382 Tb
2.4457 4.9093 1.5682 Nd
0.8700 1.6364 9.5820 Nd
-2.1751 1.6364 11.1038 Er
0.6023 4.9093 6.1610 Er
2.7134 1.6364 4.9891 Er
5.4908 4.9093 0.0463 Er

---

Among the records above, which one has the lowest calculated total energy? KTa2Mo

---

What is the formula in the first record? CsTaCl3